## Nb10Pb14O39 (PBE-GGA)

Data for Nb10Pb14O39 after structural relaxation.

Values from the calculation:
Electronic total energy   -7.483 eV per atom
Energy relative to the elements, uncorrected   -1.991 eV/atom
ρ   7.66 g cm⁻³

a b c (Å): 7.625 7.656 16.973
angles (deg): 90.00 102.98 90.00
Atoms (fractional coordinates):
O (0.572, 0.306, 0.759)
O (0.679, 0.000, 0.359)
O (0.132, 0.500, 0.263)
O (0.488, 0.795, 0.596)
O (0.108, 0.205, 0.596)
O (0.848, 0.188, 0.076)
O (0.769, 0.311, 0.918)
O (0.429, 0.808, 0.239)
O (0.890, 0.701, 0.403)
O (0.876, 0.000, 0.753)
O (0.559, 0.000, 0.118)
O (0.535, 0.500, 0.069)
O (0.848, 0.812, 0.076)
O (0.429, 0.192, 0.239)
O (0.098, 0.000, 0.195)
O (0.149, 0.311, 0.918)
O (0.782, 0.000, 0.564)
O (0.359, 0.000, 0.719)
O (0.890, 0.299, 0.403)
O (0.222, 0.500, 0.444)
O (0.108, 0.795, 0.596)
O (0.810, 0.192, 0.239)
O (0.513, 0.701, 0.403)
O (0.321, 0.500, 0.641)
O (0.488, 0.205, 0.596)
O (0.810, 0.808, 0.239)
O (0.229, 0.812, 0.076)
O (0.149, 0.689, 0.918)
O (0.639, 0.500, 0.277)
O (0.899, 0.500, 0.798)
O (0.572, 0.694, 0.759)
O (0.188, 0.694, 0.759)
O (0.769, 0.689, 0.918)
O (0.229, 0.188, 0.076)
O (0.975, 0.000, 0.949)
O (0.188, 0.306, 0.759)
O (0.513, 0.299, 0.403)
O (0.441, 0.500, 0.882)
O (0.020, 0.500, 0.039)
Pb (0.498, 0.257, 0.996)
Pb (0.336, 0.500, 0.168)
Pb (0.832, 0.761, 0.664)
Pb (0.498, 0.743, 0.996)
Pb (0.996, 0.000, 0.494)
Pb (0.506, 0.500, 0.511)
Pb (0.171, 0.738, 0.341)
Pb (0.498, 0.000, 0.494)
Pb (0.675, 0.000, 0.837)
Pb (0.162, 0.000, 0.837)
Pb (0.832, 0.239, 0.664)
Pb (0.005, 0.500, 0.511)
Pb (0.832, 0.500, 0.168)
Pb (0.171, 0.262, 0.341)
Nb (0.665, 0.254, 0.330)
Nb (0.000, 0.250, 0.001)
Nb (0.336, 0.000, 0.165)
Nb (0.000, 0.750, 0.001)
Nb (0.668, 0.500, 0.834)
Nb (0.167, 0.500, 0.834)
Nb (0.335, 0.754, 0.671)
Nb (0.335, 0.246, 0.671)
Nb (0.665, 0.746, 0.330)
Nb (0.829, 0.000, 0.165)